(1)
A plane-wave DFT calculation with GGA-PBE was carried out for crystalline LiTbCePt at its relaxed geometry.

Calculated values
magnetization = 0.95 Bohr magnetons per cell
DFT formation energy = -0.502 eV/atom
crystal system = cubic
ρ = 9.14 Mg/m³

Unit cell a=5.049 b=5.049 c=5.049 alpha=60.00 beta=60.00 gamma=60.00
Positions (direct):
1 Pt 0.250 0.250 0.250
2 Ce 0.000 0.000 0.000
3 Li 0.750 0.750 0.750
4 Tb 0.500 0.500 0.500

***

(2)
A plane-wave DFT calculation with GGA-PBE was carried out for crystalline AcPr12Nd7 at its relaxed geometry.

Calculated values
magnetization = 0.00 Bohr magnetons per cell
DFT formation energy = 0.560 eV/atom
crystal system = cubic
energy relative to the lowest polymorph listed for this composition = 367.0 meV/atom
ρ = 5.90 Mg/m³

Unit cell a=10.228 b=10.228 c=10.228 alpha=109.47 beta=109.47 gamma=109.47
Positions (direct):
1 Pr 0.745 0.253 0.998
2 Pr 0.253 0.508 0.255
3 Pr 0.255 0.747 0.002
4 Pr 0.508 0.255 0.253
5 Pr 0.998 0.745 0.253
6 Pr 0.747 0.002 0.255
7 Pr 0.255 0.253 0.508
8 Pr 0.745 0.747 0.492
9 Pr 0.747 0.492 0.745
10 Pr 0.002 0.255 0.747
11 Pr 0.492 0.745 0.747
12 Pr 0.253 0.998 0.745
13 Ac 0.000 0.000 0.000
14 Nd 0.500 0.000 0.500
15 Nd 0.000 0.500 0.000
16 Nd 0.500 0.500 0.000
17 Nd 0.000 0.500 0.500
18 Nd 0.500 0.500 0.500
19 Nd 0.000 0.000 0.500
20 Nd 0.500 0.000 0.000

***

(3)
A plane-wave DFT calculation with GGA-PBE was carried out for crystalline Al4Zn2Tc at its relaxed geometry.

Calculated values
magnetization = 0.00 Bohr magnetons per cell
DFT formation energy = 0.174 eV/atom
crystal system = tetragonal
ρ = 5.12 Mg/m³

Unit cell a=6.804 b=6.804 c=5.358 alpha=129.42 beta=129.42 gamma=90.00
Positions (direct):
1 Zn 0.250 0.750 0.500
2 Zn 0.750 0.250 0.500
3 Tc 0.500 0.500 0.000
4 Al 0.192 0.807 0.000
5 Al 0.808 0.808 0.000
6 Al 0.193 0.193 0.000
7 Al 0.807 0.192 0.000

***

(4)
A plane-wave DFT calculation with GGA-PBE was carried out for crystalline TlFeN3 at its relaxed geometry.

Calculated values
magnetization = 0.00 Bohr magnetons per cell
raw formation energy = 1321 meV per atom
crystal system = cubic
ρ = 9.24 Mg/m³

Unit cell a=3.787 b=3.787 c=3.787 alpha=90.00 beta=90.00 gamma=90.00
Positions (direct):
1 N 0.000 0.500 0.000
2 N 0.000 0.000 0.500
3 N 0.500 0.000 0.000
4 Fe 0.000 0.000 0.000
5 Tl 0.500 0.500 0.500

***

(5)
A plane-wave DFT calculation with GGA-PBE was carried out for crystalline KAgF3 at its relaxed geometry.

Calculated values
magnetization = 0.00 Bohr magnetons per cell
raw formation energy = -1764 meV per atom
crystal system = monoclinic
ρ = 3.96 Mg/m³

Unit cell a=12.399 b=7.520 c=7.520 alpha=101.92 beta=132.30 gamma=47.70
Positions (direct):
1 Ag 0.294 0.207 0.478
2 Ag 0.206 0.978 0.707
3 Ag 0.794 0.022 0.293
4 Ag 0.706 0.793 0.522
5 F 0.554 0.380 0.244
6 F 0.470 0.209 0.420
7 F 0.530 0.791 0.580
8 F 0.446 0.620 0.756
9 F 0.030 0.920 0.709
10 F 0.042 0.605 0.394
11 F 0.958 0.395 0.606
12 F 0.946 0.744 0.880
13 F 0.054 0.256 0.120
14 F 0.542 0.106 0.895
15 F 0.458 0.894 0.105
16 F 0.970 0.080 0.291
17 K 0.250 0.409 0.909
18 K 0.750 0.242 0.742
19 K 0.250 0.758 0.258
20 K 0.750 0.591 0.091

***

(6)
A plane-wave DFT calculation with GGA-PBE was carried out for crystalline MgSb2Rh at its relaxed geometry.

Calculated values
magnetization = 0.00 Bohr magnetons per cell
raw formation energy = -258 meV per atom
crystal system = trigonal
ρ = 6.61 Mg/m³

Unit cell a=7.162 b=7.162 c=7.162 alpha=32.29 beta=32.29 gamma=32.29
Positions (direct):
1 Sb 0.016 0.016 0.016
2 Sb 0.484 0.484 0.484
3 Mg 0.250 0.250 0.250
4 Rh 0.750 0.750 0.750

***

(7)
A plane-wave DFT calculation with GGA-PBE was carried out for crystalline Tb5MgSc2 at its relaxed geometry.

Calculated values
magnetization = 0.00 Bohr magnetons per cell
DFT formation energy = 0.054 eV/atom
crystal system = monoclinic
ρ = 6.51 Mg/m³

Unit cell a=7.924 b=7.915 c=6.711 alpha=126.14 beta=126.19 gamma=90.01
Positions (direct):
1 Mg 0.199 0.199 0.399
2 Tb 0.701 0.239 0.940
3 Tb 0.239 0.700 0.940
4 Tb 0.767 0.767 0.534
5 Tb 0.701 0.701 0.940
6 Tb 0.239 0.239 0.940
7 Sc 0.716 0.216 0.431
8 Sc 0.215 0.716 0.431

***

(8)
A plane-wave DFT calculation with GGA-PBE was carried out for crystalline Sc2Ni at its relaxed geometry.

Calculated values
magnetization = 0.00 Bohr magnetons per cell
DFT formation energy = -0.325 eV/atom
crystal system = hexagonal
ρ = 4.32 Mg/m³

Unit cell a=6.665 b=6.665 c=4.454 alpha=90.00 beta=90.00 gamma=120.00
Positions (direct):
1 Ni 0.667 0.333 0.000
2 Ni 0.000 0.000 0.500
3 Ni 0.333 0.667 0.000
4 Sc 0.408 0.408 0.500
5 Sc 0.592 0.000 0.500
6 Sc 0.000 0.264 0.000
7 Sc 0.736 0.736 0.000
8 Sc 0.264 0.000 0.000
9 Sc 0.000 0.592 0.500

***

(9)
A plane-wave DFT calculation with GGA-PBE was carried out for crystalline BaPmAu2 at its relaxed geometry.

Calculated values
magnetization = 0.00 Bohr magnetons per cell
DFT formation energy = -0.734 eV/atom
crystal system = tetragonal
energy relative to the lowest polymorph listed for this composition = 0.0 meV/atom
ρ = 9.77 Mg/m³

Unit cell a=3.836 b=3.836 c=7.812 alpha=90.00 beta=90.00 gamma=90.00
Positions (direct):
1 Pm 0.500 0.500 0.000
2 Ba 0.500 0.500 0.500
3 Au 0.000 0.000 0.202
4 Au 0.000 0.000 0.798

***

(10)
A plane-wave DFT calculation with GGA-PBE was carried out for crystalline TiAl2V at its relaxed geometry.

Calculated values
magnetization = 0.00 Bohr magnetons per cell
DFT formation energy = -0.126 eV/atom
crystal system = orthorhombic
energy relative to the lowest polymorph listed for this composition = 190.2 meV/atom
ρ = 4.07 Mg/m³

Unit cell a=5.483 b=4.974 c=9.136 alpha=90.00 beta=90.00 gamma=90.00
Positions (direct):
1 Al 0.373 0.239 0.496
2 Al 0.127 0.739 0.496
3 Al 0.627 0.761 0.996
4 Al 0.627 0.761 0.504
5 Al 0.127 0.739 0.004
6 Al 0.373 0.239 0.004
7 Al 0.873 0.261 0.504
8 Al 0.873 0.261 0.996
9 Ti 0.623 0.445 0.250
10 Ti 0.877 0.945 0.250
11 Ti 0.123 0.055 0.750
12 Ti 0.377 0.555 0.750
13 V 0.874 0.567 0.750
14 V 0.374 0.933 0.250
15 V 0.126 0.433 0.250
16 V 0.626 0.067 0.750

***

(11)
A plane-wave DFT calculation with GGA-PBE was carried out for crystalline La2PtAu at its relaxed geometry.

Calculated values
magnetization = 0.00 Bohr magnetons per cell
DFT formation energy = -0.674 eV/atom
crystal system = tetragonal
ρ = 9.32 Mg/m³

Unit cell a=7.847 b=7.847 c=6.769 alpha=54.58 beta=54.58 gamma=90.00
Positions (direct):
1 Pt 0.250 0.750 0.500
2 Pt 0.500 0.500 0.000
3 La 0.144 0.625 0.250
4 La 0.606 0.125 0.250
5 La 0.875 0.856 0.750
6 La 0.375 0.394 0.750
7 Au 0.000 0.000 0.000
8 Au 0.750 0.250 0.500

***

(12)
A plane-wave DFT calculation with GGA-PBE was carried out for crystalline Tb2Er4Mg at its relaxed geometry.

Calculated values
magnetization = 0.00 Bohr magnetons per cell
DFT formation energy = 0.210 eV/atom
crystal system = orthorhombic
energy relative to the lowest polymorph listed for this composition = 103.9 meV/atom
ρ = 7.64 Mg/m³

Unit cell a=6.598 b=12.037 c=12.037 alpha=66.85 beta=90.00 gamma=90.00
Positions (direct):
1 Er 0.739 0.458 0.803
2 Er 0.761 0.042 0.697
3 Er 0.745 0.350 0.481
4 Er 0.261 0.197 0.542
5 Er 0.755 0.150 0.019
6 Er 0.745 0.650 0.519
7 Er 0.761 0.958 0.303
8 Er 0.255 0.519 0.650
9 Er 0.239 0.303 0.958
10 Er 0.755 0.850 0.981
11 Er 0.245 0.981 0.850
12 Er 0.739 0.542 0.197
13 Er 0.239 0.697 0.042
14 Er 0.255 0.481 0.350
15 Er 0.261 0.803 0.458
16 Er 0.245 0.019 0.150
17 Tb 0.000 0.255 0.745
18 Tb 0.500 0.242 0.242
19 Tb 0.500 0.245 0.755
20 Tb 0.500 0.755 0.245
21 Tb 0.500 0.758 0.758
22 Tb 0.000 0.745 0.255
23 Tb 0.000 0.742 0.742
24 Tb 0.000 0.258 0.258
25 Mg 0.984 0.500 0.000
26 Mg 0.516 0.000 0.500
27 Mg 0.484 0.500 0.000
28 Mg 0.016 0.000 0.500

***

(13)
A plane-wave DFT calculation with GGA-PBE was carried out for crystalline ErCdIrO6 at its relaxed geometry.

Calculated values
magnetization = 2.56 Bohr magnetons per cell
raw formation energy = -1425 meV per atom
crystal system = trigonal
ρ = 7.77 Mg/m³

Unit cell a=5.527 b=5.527 c=9.177 alpha=90.00 beta=90.00 gamma=120.00
Positions (direct):
1 O 0.618 0.960 0.868
2 O 0.382 0.040 0.132
3 O 0.342 0.382 0.868
4 O 0.658 0.040 0.368
5 O 0.960 0.342 0.132
6 O 0.342 0.960 0.632
7 O 0.618 0.658 0.632
8 O 0.382 0.342 0.368
9 O 0.658 0.618 0.132
10 O 0.960 0.618 0.368
11 O 0.040 0.658 0.868
12 O 0.040 0.382 0.632
13 Er 0.667 0.333 0.750
14 Er 0.333 0.667 0.250
15 Ir 0.667 0.333 0.250
16 Ir 0.333 0.667 0.750
17 Cd 0.000 0.000 0.500
18 Cd 0.000 0.000 0.000

***

(14)
A plane-wave DFT calculation with GGA-PBE was carried out for crystalline OsRu3 at its relaxed geometry.

Calculated values
magnetization = 0.00 Bohr magnetons per cell
DFT formation energy = 0.068 eV/atom
crystal system = orthorhombic
ρ = 14.59 Mg/m³

Unit cell a=4.709 b=13.168 c=5.434 alpha=90.00 beta=90.00 gamma=90.00
Positions (direct):
1 Os 0.669 0.913 0.250
2 Os 0.002 0.750 0.750
3 Os 0.331 0.087 0.750
4 Os 0.669 0.587 0.250
5 Os 0.998 0.250 0.250
6 Os 0.331 0.413 0.750
7 Ru 0.833 0.087 0.000
8 Ru 0.002 0.250 0.750
9 Ru 0.499 0.250 0.000
10 Ru 0.167 0.587 0.500
11 Ru 0.999 0.750 0.250
12 Ru 0.667 0.913 0.750
13 Ru 0.333 0.087 0.250
14 Ru 0.833 0.413 0.500
15 Ru 0.333 0.413 0.250
16 Ru 0.499 0.250 0.500
17 Ru 0.167 0.587 0.000
18 Ru 0.501 0.750 0.500
19 Ru 0.833 0.413 0.000
20 Ru 0.167 0.913 0.000
21 Ru 0.167 0.913 0.500
22 Ru 0.667 0.587 0.750
23 Ru 0.501 0.750 0.000
24 Ru 0.833 0.087 0.500

***

(15)
A plane-wave DFT calculation with GGA-PBE was carried out for crystalline HfZnP2S at its relaxed geometry.

Calculated values
magnetization = 0.00 Bohr magnetons per cell
raw formation energy = 520 meV per atom
crystal system = tetragonal
energy relative to the lowest polymorph listed for this composition = 313.7 meV/atom
ρ = 5.96 Mg/m³

Unit cell a=4.516 b=4.516 c=4.615 alpha=90.00 beta=90.00 gamma=90.00
Positions (direct):
1 P 0.000 0.500 0.000
2 P 0.500 0.000 0.000
3 Hf 0.500 0.500 0.500
4 S 0.000 0.000 0.500
5 Zn 0.000 0.000 0.000

***

(16)
A plane-wave DFT calculation with GGA-PBE was carried out for crystalline CeAlInHg at its relaxed geometry.

Calculated values
magnetization = 0.25 Bohr magnetons per cell
DFT formation energy = -0.213 eV/atom
crystal system = cubic
ρ = 8.39 Mg/m³

Unit cell a=5.130 b=5.130 c=5.130 alpha=60.00 beta=60.00 gamma=60.00
Positions (direct):
1 Hg 0.250 0.250 0.250
2 Al 0.750 0.750 0.750
3 In 0.500 0.500 0.500
4 Ce 0.000 0.000 0.000

***

(17)
A plane-wave DFT calculation with GGA-PBE was carried out for crystalline LuPuPt4 at its relaxed geometry.

Calculated values
magnetization = 5.46 Bohr magnetons per cell
DFT formation energy = -0.964 eV/atom
crystal system = cubic
ρ = 17.63 Mg/m³

Unit cell a=5.426 b=5.426 c=5.426 alpha=60.00 beta=60.00 gamma=60.00
Positions (direct):
1 Pt 0.625 0.625 0.125
2 Pt 0.625 0.625 0.625
3 Pt 0.625 0.125 0.625
4 Pt 0.125 0.625 0.625
5 Lu 0.250 0.250 0.250
6 Pu 0.000 0.000 0.000

***

(18)
A plane-wave DFT calculation with GGA-PBE was carried out for crystalline Ba2CaZn9 at its relaxed geometry.

Calculated values
magnetization = 0.00 Bohr magnetons per cell
DFT formation energy = -0.129 eV/atom
crystal system = trigonal
ρ = 5.67 Mg/m³

Unit cell a=5.727 b=5.727 c=9.882 alpha=73.16 beta=73.16 gamma=60.00
Positions (direct):
1 Zn 0.423 0.423 0.226
2 Zn 0.423 0.928 0.226
3 Zn 0.072 0.577 0.774
4 Zn 0.500 0.500 0.500
5 Zn 0.665 0.665 0.006
6 Zn 0.928 0.423 0.226
7 Zn 0.335 0.335 0.994
8 Zn 0.577 0.577 0.774
9 Zn 0.577 0.072 0.774
10 Ba 0.859 0.859 0.423
11 Ba 0.141 0.141 0.577
12 Ca 0.000 0.000 0.000

***

(19)
A plane-wave DFT calculation with GGA-PBE was carried out for crystalline Te3Os at its relaxed geometry.

Calculated values
magnetization = 0.00 Bohr magnetons per cell
raw formation energy = 262 meV per atom
crystal system = orthorhombic
ρ = 8.51 Mg/m³

Unit cell a=3.166 b=3.178 c=11.110 alpha=90.00 beta=90.00 gamma=90.00
Positions (direct):
1 Te 0.500 0.500 0.883
2 Te 0.500 0.000 0.545
3 Te 0.000 0.500 0.218
4 Os 0.000 0.000 0.020

***

(20)
A plane-wave DFT calculation with GGA-PBE was carried out for crystalline LaSc2Al at its relaxed geometry.

Calculated values
magnetization = 0.00 Bohr magnetons per cell
DFT formation energy = -0.137 eV/atom
crystal system = tetragonal
ρ = 4.18 Mg/m³

Unit cell a=3.352 b=3.352 c=9.053 alpha=90.00 beta=90.00 gamma=90.00
Positions (direct):
1 Sc 0.000 0.000 0.029
2 Sc 0.500 0.500 0.276
3 Al 0.000 0.000 0.473
4 La 0.500 0.500 0.721